VASP calculation (PBE) on a relaxed structure of EuTmMgPd.

The electronic total energy is -5.704 eV/atom. For the total moment, the calculation gives 7.0 μB per cell.

a = 5.1917 Å, b = 5.1917 Å, c = 5.1917 Å
α = 60.00°, β = 60.00°, γ = 60.00°
Site moments in Bohr magnetons follow the coordinates.
Atoms (fractional coordinates):
Eu1 0.5000 0.5000 0.5000  -6.78
Mg1 0.7500 0.7500 0.7500  0.00
Tm1 0.0000 0.0000 0.0000  -0.02
Pd1 0.2500 0.2500 0.2500  0.02

***

VASP calculation (PBE) on a relaxed structure of EuMgZnPd.

The electronic total energy is -4.970 eV/atom. For the total moment, the calculation gives 7.2 μB per cell.

a = 4.9420 Å, b = 4.9420 Å, c = 4.9420 Å
α = 60.00°, β = 60.00°, γ = 60.00°
Site moments in Bohr magnetons follow the coordinates.
Atoms (fractional coordinates):
Eu1 0.7500 0.7500 0.7500  6.79
Zn1 0.5000 0.5000 0.5000  0.03
Mg1 0.2500 0.2500 0.2500  0.00
Pd1 0.0000 0.0000 0.0000  -0.01

***

VASP calculation (PBE) on a relaxed structure of Pm2EuMg.

The electronic total energy is -5.162 eV/atom. The value obtained for the energy above the most stable polymorph in this dataset is 0.1856 eV/atom. For the total moment, the calculation gives 8.1 μB per cell.

a = 3.5357 Å, b = 3.5357 Å, c = 12.6584 Å
α = 81.97°, β = 81.97°, γ = 60.00°
Site moments in Bohr magnetons follow the coordinates.
Atoms (fractional coordinates):
Eu1 0.0000 0.0000 0.0000  7.13
Mg1 0.5000 0.5000 0.5000  0.01
Pm1 0.0943 0.0943 0.7170  0.08
Pm2 0.9057 0.9057 0.2830  0.08

***

VASP calculation (PBE) on a relaxed structure of PmEuMg.

The electronic total energy is -5.561 eV/atom. The value obtained for the energy above the most stable polymorph in this dataset is 0.0000 eV/atom. For the total moment, the calculation gives 7.3 μB per cell.

a = 3.8546 Å, b = 3.8546 Å, c = 7.1899 Å
α = 105.55°, β = 105.55°, γ = 90.00°
Site moments in Bohr magnetons follow the coordinates.
Atoms (fractional coordinates):
Eu1 0.0132 0.0132 0.0263  -6.91
Mg1 0.6723 0.6723 0.3445  0.01
Pm1 0.3146 0.3146 0.6291  -0.02

***

VASP calculation (PBE) on a relaxed structure of PmEu2Mg.

The electronic total energy is -6.628 eV/atom. The value obtained for the energy above the most stable polymorph in this dataset is 0.0739 eV/atom. For the total moment, the calculation gives 14.7 μB per cell.

a = 5.8021 Å, b = 5.8021 Å, c = 5.8021 Å
α = 60.00°, β = 60.00°, γ = 60.00°
Site moments in Bohr magnetons follow the coordinates.
Atoms (fractional coordinates):
Eu1 0.2500 0.2500 0.2500  6.89
Eu2 0.7500 0.7500 0.7500  6.89
Mg1 0.5000 0.5000 0.5000  -0.01
Pm1 0.0000 0.0000 0.0000  0.17

***

VASP calculation (PBE) on a relaxed structure of PmEu2Mg.

The electronic total energy is -6.702 eV/atom. The value obtained for the energy above the most stable polymorph in this dataset is 0.0000 eV/atom. For the total moment, the calculation gives 14.7 μB per cell.

a = 3.7237 Å, b = 3.7237 Å, c = 10.0646 Å
α = 90.00°, β = 90.00°, γ = 90.00°
Site moments in Bohr magnetons follow the coordinates.
Atoms (fractional coordinates):
Eu1 0.0000 0.0000 0.7709  6.91
Eu2 0.0000 0.0000 0.2291  6.91
Mg1 0.5000 0.5000 0.0000  0.00
Pm1 0.5000 0.5000 0.5000  0.08